{"formula": "Zr3NbC4", "functional": "PBE-GGA", "state": "optimized geometry", "crystal_system": "trigonal", "sg": "R-3m, No. 166", "e_above_lowest_polymorph_mev_per_atom": 11, "vol_a3_per_fu": 101.6, "cell": [[1.649, 0.952, 10.791], [-1.649, 0.952, 10.791], [0.000, -1.904, 10.791]], "species": ["Zr", "Zr", "Zr", "Nb", "C", "C", "C", "C"], "fractional_positions": [[0.000, 0.000, 0.000], [0.249, 0.249, 0.249], [0.751, 0.751, 0.751], [0.500, 0.500, 0.500], [0.128, 0.128, 0.128], [0.376, 0.376, 0.376], [0.624, 0.624, 0.624], [0.872, 0.872, 0.872]]}